4
Lattice="3.908 0.000 -0.096 0.000 4.221 0.000 -1.822 0.000 5.726" Properties=species:S:1:pos:R:3 comment="BaLiCu2 SCAN PBEsol geometry" e_tot_ev_per_atom=-17.966 delta_e_f_kcal_per_mol_atoms=2.73 sg="Pm, No. 6" pbc="T T T"
Li 1.266 0.000 2.023
Cu 3.180 0.000 0.301
Cu 3.222 2.110 1.400
Ba -0.631 2.110 4.624

=====

4
Lattice="-3.616 2.349 -0.459 -2.535 0.771 3.433 0.779 5.603 2.056" Properties=species:S:1:pos:R:3 comment="BaLiCu2 SCAN PBEsol geometry" e_tot_ev_per_atom=-18.082 delta_e_f_kcal_per_mol_atoms=0.06 sg="R-3m, No. 166" pbc="T T T"
Cu -1.863 1.342 1.062
Ba -2.686 4.362 2.515
Cu -3.509 7.381 3.967
Li 0.000 0.000 0.000

=====

4
Lattice="-1.771 -0.911 3.413 -0.849 -3.846 -1.467 6.396 -1.647 0.615" Properties=species:S:1:pos:R:3 comment="BaLi2Cu SCAN PBEsol geometry" e_tot_ev_per_atom=-14.807 delta_e_f_kcal_per_mol_atoms=1.74 sg="Pm, No. 6" pbc="T T T"
Ba 2.792 -1.365 1.963
Li -1.114 -2.750 1.832
Li -0.154 -0.236 0.709
Cu 4.564 -3.331 0.070

=====

4
Lattice="4.583 0.000 0.000 2.291 3.973 -0.029 2.291 1.358 5.635" Properties=species:S:1:pos:R:3 comment="BaLi2Cu SCAN PBEsol geometry" e_tot_ev_per_atom=-14.843 delta_e_f_kcal_per_mol_atoms=0.90 sg="Cm, No. 8" pbc="T T T"
Li 2.291 1.355 5.495
Cu 6.874 4.002 5.199
Ba 4.583 2.671 2.883
Li 2.291 1.326 0.466